Ti2Al2Pb after structural relaxation. Source: Alexandria, functional PBE.

As for the calculated total energy: -5.378 eV per atom. The calculation puts the spin magnetization at 0.0 μB per formula unit. The energy relative to the lowest polymorph listed for this composition comes out at 0.000 eV/f.u. The crystal system is tetragonal. The energy of formation comes out at 19 meV/atom. Its density is 6.046 g cm⁻³.

Cell lengths 7.103, 7.103, 3.886 Å; angles 90.00, 90.00, 90.00 degrees
Atoms (fractional coordinates):
Ti  0.645  0.145  0.000
Ti  0.355  0.855  0.000
Pb  0.000  0.000  0.000
Pb  0.500  0.500  0.000
Al  0.356  0.144  0.500
Al  0.856  0.356  0.500
Al  0.644  0.856  0.500
Ti  0.855  0.645  0.000
Al  0.144  0.644  0.500
Ti  0.145  0.355  0.000